1.
Entry from OQMD: an optimized crystal structure of Dy4Fe2SnGe4 (PBE).

Geometry as CIF:
```
data_Dy4Fe2SnGe4
_cell_length_a 8.047
_cell_length_b 8.047
_cell_length_c 7.024
_cell_angle_alpha 107.08
_cell_angle_beta 107.08
_cell_angle_gamma 30.65
_space_group_name_H-M_alt 'P 1'
_space_group_IT_number 1
_space_group_name_Hall 'P 1'
loop_
_atom_site_label
_atom_site_type_symbol
_atom_site_fract_x
_atom_site_fract_y
_atom_site_fract_z
Sn1 Sn 0.000 0.000 0.000
Fe1 Fe 0.781 0.781 0.365
Fe2 Fe 0.219 0.219 0.635
Ge1 Ge 0.210 0.210 0.280
Ge2 Ge 0.069 0.069 0.657
Dy1 Dy 0.654 0.654 0.941
Ge3 Ge 0.790 0.790 0.720
Dy2 Dy 0.590 0.590 0.386
Ge4 Ge 0.931 0.931 0.343
Dy3 Dy 0.346 0.346 0.059
Dy4 Dy 0.410 0.410 0.614
```

**Size of the total moment**: 1.90 μB per cell
**Space group**: C2/m, No. 12

=====

2.
Entry from OQMD: an optimized crystal structure of LuAlIr (PBE).

Geometry as CIF:
```
data_LuAlIr
_cell_length_a 6.840
_cell_length_b 4.429
_cell_length_c 7.362
_cell_angle_alpha 90.00
_cell_angle_beta 90.00
_cell_angle_gamma 90.00
_space_group_name_H-M_alt 'P 1'
_space_group_IT_number 1
_space_group_name_Hall 'P 1'
loop_
_atom_site_label
_atom_site_type_symbol
_atom_site_fract_x
_atom_site_fract_y
_atom_site_fract_z
Lu1 Lu 0.508 0.750 0.807
Al1 Al 0.811 0.250 0.898
Ir1 Ir 0.816 0.750 0.069
Al2 Al 0.311 0.250 0.602
Lu2 Lu 0.492 0.250 0.193
Ir2 Ir 0.684 0.250 0.569
Lu3 Lu 0.992 0.250 0.307
Lu4 Lu 0.008 0.750 0.693
Al3 Al 0.689 0.750 0.398
Ir3 Ir 0.316 0.750 0.431
Ir4 Ir 0.184 0.250 0.931
Al4 Al 0.189 0.750 0.102
```

**Size of the total moment**: 0.02 μB per cell
**Space group**: Pnma, No. 62

=====

3.
Entry from OQMD: an optimized crystal structure of RbDyTmTe3 (PBE).

Geometry as CIF:
```
data_RbDyTmTe3
_cell_length_a 8.750
_cell_length_b 8.750
_cell_length_c 11.854
_cell_angle_alpha 90.00
_cell_angle_beta 90.00
_cell_angle_gamma 149.18
_space_group_name_H-M_alt 'P 1'
_space_group_IT_number 1
_space_group_name_Hall 'P 1'
loop_
_atom_site_label
_atom_site_type_symbol
_atom_site_fract_x
_atom_site_fract_y
_atom_site_fract_z
Rb1 Rb 0.255 0.745 0.750
Dy1 Dy 0.000 0.000 0.000
Te1 Te 0.374 0.626 0.044
Te2 Te 0.374 0.626 0.456
Te3 Te 0.068 0.932 0.250
Tm1 Tm 0.464 0.536 0.250
Dy2 Dy 0.000 0.000 0.500
Tm2 Tm 0.536 0.464 0.750
Rb2 Rb 0.745 0.255 0.250
Te4 Te 0.626 0.374 0.544
Te5 Te 0.932 0.068 0.750
Te6 Te 0.626 0.374 0.956
```

**Size of the total moment**: 0.10 μB per cell
**Energy above the lowest structure with this stoichiometry**: 0.000 eV per atom
**Space group**: Cmcm, No. 63

=====

4.
Entry from OQMD: an optimized crystal structure of Ta3Re2 (PBE).

Geometry as CIF:
```
data_Ta3Re2
_cell_length_a 9.934
_cell_length_b 9.934
_cell_length_c 5.189
_cell_angle_alpha 90.00
_cell_angle_beta 90.00
_cell_angle_gamma 90.00
_space_group_name_H-M_alt 'P 1'
_space_group_IT_number 1
_space_group_name_Hall 'P 1'
loop_
_atom_site_label
_atom_site_type_symbol
_atom_site_fract_x
_atom_site_fract_y
_atom_site_fract_z
Ta1 Ta 0.758 0.559 0.500
Re1 Re 0.308 0.692 0.248
Ta2 Ta 0.464 0.139 0.000
Ta3 Ta 0.258 0.941 0.000
Re2 Re 0.095 0.905 0.500
Re3 Re 0.192 0.192 0.252
Ta4 Ta 0.941 0.258 0.000
Re4 Re 0.808 0.808 0.748
Ta5 Ta 0.742 0.059 0.000
Re5 Re 0.405 0.405 0.000
Ta6 Ta 0.861 0.536 0.000
Ta7 Ta 0.536 0.861 0.000
Re6 Re 0.308 0.692 0.752
Re7 Re 0.808 0.808 0.252
Ta8 Ta 0.242 0.441 0.500
Re8 Re 0.595 0.595 0.000
Re9 Re 0.692 0.308 0.248
Ta9 Ta 0.500 0.500 0.500
Re10 Re 0.692 0.308 0.752
Ta10 Ta 0.639 0.036 0.500
Ta11 Ta 0.036 0.639 0.500
Re11 Re 0.192 0.192 0.748
Ta12 Ta 0.000 0.000 0.000
Ta13 Ta 0.441 0.242 0.500
Re12 Re 0.905 0.095 0.500
Ta14 Ta 0.139 0.464 0.000
Ta15 Ta 0.559 0.758 0.500
Ta16 Ta 0.964 0.361 0.500
Ta17 Ta 0.059 0.742 0.000
Ta18 Ta 0.361 0.964 0.500
```

**Size of the total moment**: 0.00 μB per cell
**E_form**: 0.3 eV/f.u.
**Energy above the lowest structure with this stoichiometry**: 0.199 eV per atom
**Space group**: P4_2/mnm, No. 136

=====

5.
Entry from OQMD: an optimized crystal structure of MgBeZnAs (PBE).

Geometry as CIF:
```
data_MgBeZnAs
_cell_length_a 4.522
_cell_length_b 4.522
_cell_length_c 4.522
_cell_angle_alpha 60.00
_cell_angle_beta 60.00
_cell_angle_gamma 60.00
_space_group_name_H-M_alt 'P 1'
_space_group_IT_number 1
_space_group_name_Hall 'P 1'
loop_
_atom_site_label
_atom_site_type_symbol
_atom_site_fract_x
_atom_site_fract_y
_atom_site_fract_z
Be1 Be 0.750 0.750 0.750
Mg1 Mg 0.250 0.250 0.250
Zn1 Zn 0.500 0.500 0.500
As1 As 0.000 0.000 0.000
```

**Energy above the lowest structure with this stoichiometry**: 0.000 eV per atom
**Space group**: F-43m, No. 216

=====

6.
Entry from OQMD: an optimized crystal structure of Sc2Si2Ir (PBE).

Geometry as CIF:
```
data_Sc2Si2Ir
_cell_length_a 6.319
_cell_length_b 6.319
_cell_length_c 4.169
_cell_angle_alpha 90.00
_cell_angle_beta 90.00
_cell_angle_gamma 90.00
_space_group_name_H-M_alt 'P 1'
_space_group_IT_number 1
_space_group_name_Hall 'P 1'
loop_
_atom_site_label
_atom_site_type_symbol
_atom_site_fract_x
_atom_site_fract_y
_atom_site_fract_z
Si1 Si 0.635 0.135 0.000
Ir1 Ir 0.000 0.000 0.000
Si2 Si 0.365 0.865 0.000
Sc1 Sc 0.672 0.828 0.500
Sc2 Sc 0.328 0.172 0.500
Si3 Si 0.135 0.365 0.000
Sc3 Sc 0.828 0.328 0.500
Si4 Si 0.865 0.635 0.000
Ir2 Ir 0.500 0.500 0.000
Sc4 Sc 0.172 0.672 0.500
```

**Size of the total moment**: 0.01 μB per cell
**Space group**: P4/mbm, No. 127

=====

7.
Entry from OQMD: an optimized crystal structure of SmGd2HoAl2 (PBE).

Geometry as CIF:
```
data_SmGd2HoAl2
_cell_length_a 5.275
_cell_length_b 5.275
_cell_length_c 6.722
_cell_angle_alpha 90.00
_cell_angle_beta 90.00
_cell_angle_gamma 120.00
_space_group_name_H-M_alt 'P 1'
_space_group_IT_number 1
_space_group_name_Hall 'P 1'
loop_
_atom_site_label
_atom_site_type_symbol
_atom_site_fract_x
_atom_site_fract_y
_atom_site_fract_z
Ho1 Ho 0.000 0.000 0.000
Gd1 Gd 0.333 0.667 0.754
Gd2 Gd 0.333 0.667 0.246
Sm1 Sm 0.667 0.333 0.500
Al1 Al 0.000 0.000 0.500
Al2 Al 0.667 0.333 0.000
```

**Size of the total moment**: 0.10 μB per cell
**Space group**: P-6m2, No. 187

=====

8.
Entry from OQMD: an optimized crystal structure of LaCoCuGe2 (PBE).

Geometry as CIF:
```
data_LaCoCuGe2
_cell_length_a 5.904
_cell_length_b 5.904
_cell_length_c 5.904
_cell_angle_alpha 138.57
_cell_angle_beta 138.57
_cell_angle_gamma 60.03
_space_group_name_H-M_alt 'P 1'
_space_group_IT_number 1
_space_group_name_Hall 'P 1'
loop_
_atom_site_label
_atom_site_type_symbol
_atom_site_fract_x
_atom_site_fract_y
_atom_site_fract_z
Co1 Co 0.250 0.750 0.500
Ge1 Ge 0.871 0.871 0.000
Cu1 Cu 0.750 0.250 0.500
La1 La 0.500 0.500 0.000
Ge2 Ge 0.129 0.129 0.000
```

**Size of the total moment**: 0.97 μB per cell
**Space group**: I-4m2, No. 119

=====

9.
Entry from OQMD: an optimized crystal structure of BaErNi (PBE).

Geometry as CIF:
```
data_BaErNi
_cell_length_a 4.947
_cell_length_b 4.947
_cell_length_c 4.947
_cell_angle_alpha 60.00
_cell_angle_beta 60.00
_cell_angle_gamma 60.00
_space_group_name_H-M_alt 'P 1'
_space_group_IT_number 1
_space_group_name_Hall 'P 1'
loop_
_atom_site_label
_atom_site_type_symbol
_atom_site_fract_x
_atom_site_fract_y
_atom_site_fract_z
Ni1 Ni 0.750 0.750 0.750
Ba1 Ba 0.000 0.000 0.000
Er1 Er 0.250 0.250 0.250
```

**Size of the total moment**: 0.00 μB per cell
**Energy above the lowest structure with this stoichiometry**: 0.266 eV per atom
**Space group**: F-43m, No. 216

=====

10.
Entry from OQMD: an optimized crystal structure of Pr2Sn2O7 (PBE).

Geometry as CIF:
```
data_Pr2Sn2O7
_cell_length_a 7.535
_cell_length_b 7.535
_cell_length_c 7.535
_cell_angle_alpha 120.00
_cell_angle_beta 90.00
_cell_angle_gamma 120.00
_space_group_name_H-M_alt 'P 1'
_space_group_IT_number 1
_space_group_name_Hall 'P 1'
loop_
_atom_site_label
_atom_site_type_symbol
_atom_site_fract_x
_atom_site_fract_y
_atom_site_fract_z
O1 O 0.833 0.167 0.083
Sn1 Sn 0.500 0.500 0.000
O2 O 0.167 0.833 0.917
O3 O 0.583 0.250 0.917
O4 O 0.875 0.250 0.625
O5 O 0.583 0.250 0.333
Sn2 Sn 0.000 0.000 0.000
O6 O 0.417 0.333 0.667
O7 O 0.167 0.250 0.917
Sn3 Sn 0.500 0.000 0.000
O8 O 0.833 0.750 0.667
Pr1 Pr 0.000 0.000 0.500
O9 O 0.167 0.250 0.333
O10 O 0.833 0.750 0.083
Pr2 Pr 0.500 0.000 0.500
O11 O 0.417 0.750 0.667
O12 O 0.417 0.750 0.083
O13 O 0.125 0.750 0.375
Pr3 Pr 0.000 0.500 0.500
O14 O 0.583 0.667 0.333
Pr4 Pr 0.000 0.500 0.000
Sn4 Sn 0.500 0.500 0.500
```

**Size of the total moment**: 0.00 μB per cell
**Space group**: Fd-3m, No. 227

=====

11.
Entry from OQMD: an optimized crystal structure of BaLaAu2 (PBE).

Geometry as CIF:
```
data_BaLaAu2
_cell_length_a 5.001
_cell_length_b 6.170
_cell_length_c 7.777
_cell_angle_alpha 90.00
_cell_angle_beta 90.00
_cell_angle_gamma 90.00
_space_group_name_H-M_alt 'P 1'
_space_group_IT_number 1
_space_group_name_Hall 'P 1'
loop_
_atom_site_label
_atom_site_type_symbol
_atom_site_fract_x
_atom_site_fract_y
_atom_site_fract_z
Ba1 Ba 0.000 0.904 0.314
Au1 Au 0.500 0.880 0.038
Au2 Au 0.500 0.120 0.538
La1 La 0.500 0.602 0.689
La2 La 0.500 0.398 0.189
Au3 Au 0.000 0.417 0.460
Ba2 Ba 0.000 0.096 0.814
Au4 Au 0.000 0.583 0.960
```

**Size of the total moment**: 0.00 μB per cell
**Space group**: Pmc2_1, No. 26

=====

Number 1: ρ 8.80 g/cm3, total energy -5.899 eV/atom. Number 2: ρ 11.74 g/cm3, total energy -6.652 eV/atom. Number 3: ρ 5.71 g/cm3, total energy -4.445 eV/atom. Number 4: ρ 17.81 g/cm3, total energy -12.024 eV/atom. Number 5: ρ 4.41 g/cm3, total energy -2.538 eV/atom. Number 6: ρ 6.75 g/cm3, total energy -7.501 eV/atom. Number 7: ρ 7.01 g/cm3, total energy -4.602 eV/atom. Number 8: ρ 7.57 g/cm3, total energy -5.518 eV/atom. Number 9: ρ 7.05 g/cm3, total energy -3.036 eV/atom. Number 10: ρ 6.93 g/cm3, total energy -7.260 eV/atom. Number 11: ρ 9.28 g/cm3, total energy -4.053 eV/atom.